1.
RbTiNb3: relaxed, PBE.

abc: 4.977 4.977 4.977
angles: 90.00 90.00 90.00
Fractional positions:
Rb 0.000 0.000 0.000
Ti 0.500 0.500 0.500
Nb 0.000 0.500 0.500
Nb 0.500 0.000 0.500
Nb 0.500 0.500 0.000

Computed properties:
The distance to the lowest polymorph of the same formula comes out at 0.000 eV/atom. The calculation puts the volume at 123 Å³/cell. The formation energy comes out at 1611 meV/atom. As for the total magnetization: 0.000 μB per formula unit. As for the crystal system: cubic.

***

2.
Sr5Mg4Ga: relaxed, PBE.

abc: 4.071 4.071 21.108
angles: 90.00 90.00 90.00
Fractional positions:
Sr 0.000 0.000 0.000
Sr 0.000 0.000 0.206
Sr 0.000 0.000 0.413
Sr 0.000 0.000 0.587
Sr 0.000 0.000 0.794
Mg 0.500 0.500 0.103
Mg 0.500 0.500 0.309
Mg 0.500 0.500 0.691
Mg 0.500 0.500 0.897
Ga 0.500 0.500 0.500

Computed properties:
The calculation puts the volume at 350 Å³/cell. The formation energy comes out at -118 meV/atom. As for the total magnetization: 0.000 μB per formula unit. As for the crystal system: tetragonal.

***

3.
CsKAsSe2: relaxed, PBE.

abc: 6.286 6.286 6.159
angles: 90.00 90.00 90.00
Fractional positions:
Cs 0.000 0.000 0.000
K 0.500 0.500 0.500
As 0.000 0.000 0.500
Se 0.000 0.500 0.000
Se 0.500 0.000 0.000

Computed properties:
The distance to the lowest polymorph of the same formula comes out at 1.047 eV/atom. The value obtained for the energy relative to the elements, uncorrected is 510 meV/atom. The calculation puts the volume at 243 Å³/cell. As for the total magnetization: 3.351 μB per formula unit. As for the crystal system: tetragonal.

***

4.
CrCdSb: relaxed, PBE.

abc: 7.037 7.034 3.170
angles: 77.02 76.94 26.04
Fractional positions:
Cr 0.000 0.000 0.000
Cd 0.357 0.357 0.643
Sb 0.638 0.638 0.362

Computed properties:
The distance to the lowest polymorph of the same formula comes out at 0.124 eV/atom. The value obtained for the energy relative to the elements, uncorrected is 315 meV/atom. The calculation puts the volume at 67 Å³/cell. As for the total magnetization: 3.589 μB per formula unit. As for the crystal system: orthorhombic.

***

5.
LaTb3Ho6: relaxed, PBE.

abc: 6.879 6.879 6.879
angles: 91.34 91.34 91.34
Fractional positions:
La 0.000 0.000 0.000
Tb 0.253 0.253 0.253
Tb 0.500 0.500 0.500
Tb 0.746 0.746 0.746
Ho 0.001 0.333 0.668
Ho 0.173 0.827 0.501
Ho 0.333 0.668 0.001
Ho 0.501 0.173 0.827
Ho 0.668 0.001 0.333
Ho 0.827 0.501 0.173

Computed properties:
The distance to the lowest polymorph of the same formula comes out at 0.151 eV/atom. The calculation puts the volume at 325 Å³/cell. The formation energy comes out at 287 meV/atom. As for the total magnetization: 0.000 μB per formula unit. As for the crystal system: trigonal.

***

6.
La3BeInS7: relaxed, PBE.

abc: 10.198 10.198 6.236
angles: 90.00 90.00 120.00
Fractional positions:
La 0.142 0.395 0.000
La 0.253 0.858 0.000
La 0.395 0.253 0.500
La 0.605 0.747 0.000
La 0.747 0.142 0.500
La 0.858 0.605 0.500
Be 0.333 0.667 0.411
Be 0.667 0.333 0.911
In 0.000 0.000 0.296
In 0.000 0.000 0.796
S 0.088 0.239 0.556
S 0.114 0.592 0.281
S 0.150 0.912 0.556
S 0.239 0.150 0.056
S 0.333 0.667 0.759
S 0.408 0.521 0.281
S 0.479 0.886 0.281
S 0.521 0.114 0.781
S 0.592 0.479 0.781
S 0.667 0.333 0.259
S 0.761 0.850 0.556
S 0.850 0.088 0.056
S 0.886 0.408 0.781
S 0.912 0.761 0.056

Computed properties:
The value obtained for the energy relative to the elements, uncorrected is -1602 meV/atom. The calculation puts the volume at 562 Å³/cell. As for the total magnetization: 0.000 μB per formula unit. As for the crystal system: hexagonal.